1.
BiAs2Pb2 | PBE | optimized geometry

SG   No. 139
E above lowest polymorph   0.063 eV per atom
Total magnetization   0.00 μB/atom
E   -3.974 eV/atom
D(E_F)   4.0 states/eV per cell

abc: 5.8662 5.8662 5.9452
angles: 60.44 60.44 90.00
Positions (direct):
Bi (0.0000, 0.0000, 0.0000)
As (0.3538, 0.3538, 0.2924)
As (0.6462, 0.6462, 0.7076)
Pb (0.7500, 0.2500, 0.5000)
Pb (0.2500, 0.7500, 0.5000)

=====

2.
BiAs4Pb8 | PBE | optimized geometry

SG   No. 12
Total magnetization   0.00 μB/atom
E   -3.952 eV/atom
D(E_F)   4.9 states/eV per cell

abc: 9.1072 9.1072 7.5721
angles: 94.17 115.36 125.69
Positions (direct):
Pb (0.7662, 0.9944, 0.7606)
Pb (0.2874, 0.0095, 0.7463)
Pb (0.7368, 0.4589, 0.7463)
Pb (0.7148, 0.6303, 0.3451)
Pb (0.7126, 0.9905, 0.2537)
Pb (0.2852, 0.3697, 0.6549)
Pb (0.2338, 0.0056, 0.2394)
Pb (0.2632, 0.5411, 0.2537)
As (0.2535, 0.2535, 0.0000)
As (0.7683, 0.2526, 0.0209)
As (0.2317, 0.7474, 0.9791)
As (0.7465, 0.7465, 0.0000)
Bi (0.0000, 0.5000, 0.5000)

=====

3.
BiAs2Pb2 | PBE | optimized geometry

SG   No. 127
E above lowest polymorph   0.177 eV per atom
Total magnetization   0.00 μB/atom
E   -3.861 eV/atom
D(E_F)   4.4 states/eV per cell

abc: 9.1437 9.1437 3.3041
angles: 90.00 90.00 90.00
Positions (direct):
As (0.8393, 0.3393, 0.5000)
As (0.1607, 0.6607, 0.5000)
As (0.3393, 0.1607, 0.5000)
As (0.6607, 0.8393, 0.5000)
Bi (0.5000, 0.5000, 0.0000)
Bi (0.0000, 0.0000, 0.0000)
Pb (0.3600, 0.8600, 0.0000)
Pb (0.8600, 0.6400, 0.0000)
Pb (0.6400, 0.1400, 0.0000)
Pb (0.1400, 0.3600, 0.0000)

=====

4.
BiAs3Pb | PBE | optimized geometry

SG   No. 221
E above lowest polymorph   0.000 eV per atom
Total magnetization   0.00 μB/atom
E   -3.464 eV/atom
D(E_F)   8.0 states/eV per cell

abc: 5.4483 5.4483 5.4483
angles: 90.00 90.00 90.00
Positions (direct):
As (0.5000, 0.0000, 0.0000)
As (0.0000, 0.0000, 0.5000)
As (0.0000, 0.5000, 0.0000)
Pb (0.5000, 0.5000, 0.5000)
Bi (0.0000, 0.0000, 0.0000)

=====

5.
BiAs2Pb | PBE | optimized geometry

SG   No. 166
E above lowest polymorph   0.000 eV per atom
Total magnetization   0.00 μB/atom
E   -4.189 eV/atom
D(E_F)   2.1 states/eV per cell

abc: 4.2707 4.2707 7.3435
angles: 73.10 73.10 60.00
Positions (direct):
As (0.7489, 0.7489, 0.7534)
As (0.2511, 0.2511, 0.2466)
Pb (0.5000, 0.5000, 0.5000)
Bi (0.0000, 0.0000, 0.0000)

=====

6.
BiAs2Pb2 | PBE | optimized geometry

SG   No. 127
E above lowest polymorph   0.000 eV per atom
Total magnetization   0.00 μB/atom
E   -4.038 eV/atom
D(E_F)   4.0 states/eV per cell

abc: 8.2297 8.2297 4.1315
angles: 90.00 90.00 90.00
Positions (direct):
As (0.6659, 0.1659, 0.0000)
As (0.3341, 0.8341, 0.0000)
As (0.1659, 0.3341, 0.0000)
As (0.8341, 0.6659, 0.0000)
Bi (0.0000, 0.0000, 0.0000)
Bi (0.5000, 0.5000, 0.0000)
Pb (0.6475, 0.8525, 0.5000)
Pb (0.8525, 0.3525, 0.5000)
Pb (0.1475, 0.6475, 0.5000)
Pb (0.3525, 0.1475, 0.5000)

=====

7.
BiAs2Pb2 | PBE | optimized geometry

SG   No. 139
E above lowest polymorph   0.015 eV per atom
Total magnetization   0.00 μB/atom
E   -4.023 eV/atom
D(E_F)   2.9 states/eV per cell

abc: 3.8920 3.8920 9.8221
angles: 78.57 78.57 90.00
Positions (direct):
Bi (0.0000, 0.0000, 0.0000)
As (0.7500, 0.2500, 0.5000)
As (0.2500, 0.7500, 0.5000)
Pb (0.6129, 0.6129, 0.7742)
Pb (0.3871, 0.3871, 0.2258)

=====

8.
Bi2AsPb8 | PBE | optimized geometry

SG   No. 12
Total magnetization   0.00 μB/atom
E   -3.782 eV/atom
D(E_F)   5.4 states/eV per cell

abc: 4.6593 7.7354 10.1267
angles: 95.53 103.30 90.00
Positions (direct):
Pb (0.0051, 0.7474, 0.0102)
Pb (0.7912, 0.6486, 0.5824)
Pb (0.4050, 0.5080, 0.8100)
Pb (0.3512, 0.9386, 0.7024)
Pb (0.6488, 0.0614, 0.2976)
Pb (0.2088, 0.3514, 0.4176)
Pb (0.9949, 0.2526, 0.9898)
Pb (0.5950, 0.4920, 0.1900)
Bi (0.1735, 0.7684, 0.3470)
Bi (0.8265, 0.2316, 0.6530)
As (0.5000, 0.0000, 0.0000)

=====

9.
Bi2AsPb6 | PBE | optimized geometry

SG   No. 38
Total magnetization   0.00 μB/atom
E   -3.806 eV/atom
D(E_F)   4.7 states/eV per cell

abc: 4.5700 8.5712 8.5395
angles: 120.12 90.00 90.00
Positions (direct):
Pb (0.5000, 0.6022, 0.0000)
Pb (0.0000, 0.9979, 0.2429)
Pb (0.5000, 0.3978, 0.3993)
Pb (0.5000, 0.9985, 0.6007)
Pb (0.0000, 0.2464, 0.0000)
Pb (0.0000, 0.7550, 0.7571)
Bi (0.0000, 0.3317, 0.6656)
Bi (0.0000, 0.6661, 0.3344)
As (0.5000, 0.0044, 0.0000)

=====

10.
BiAs2Pb | PBE | optimized geometry

SG   No. 225
E above lowest polymorph   0.196 eV per atom
Total magnetization   0.00 μB/atom
E   -3.993 eV/atom
D(E_F)   3.9 states/eV per cell

abc: 5.2336 5.2336 5.2336
angles: 60.00 60.00 60.00
Positions (direct):
Pb (0.0000, 0.0000, 0.0000)
As (0.2500, 0.2500, 0.2500)
As (0.7500, 0.7500, 0.7500)
Bi (0.5000, 0.5000, 0.5000)

=====

11.
BiAs2Pb | PBE | optimized geometry

SG   No. 122
E above lowest polymorph   0.171 eV per atom
Total magnetization   0.00 μB/atom
E   -4.018 eV/atom
D(E_F)   4.8 states/eV per cell

abc: 6.7270 6.7270 8.1402
angles: 65.59 65.59 90.00
Positions (direct):
As (0.6225, 0.1250, 0.2500)
As (0.8750, 0.8725, 0.7500)
As (0.1275, 0.6250, 0.2500)
As (0.3750, 0.3775, 0.7500)
Bi (0.7500, 0.2500, 0.5000)
Bi (0.0000, 0.0000, 0.0000)
Pb (0.2500, 0.7500, 0.5000)
Pb (0.5000, 0.5000, 0.0000)

=====

12.
BiAsPd3Pb | PBE | optimized geometry

SG   No. 15
Total magnetization   0.00 μB/atom
E   -4.860 eV/atom
D(E_F)   6.1 states/eV per cell

abc: 5.8733 6.7149 7.7733
angles: 64.41 79.75 65.66
Positions (direct):
Bi (0.2500, 0.2379, 0.5241)
Bi (0.7500, 0.7621, 0.4759)
As (0.2500, 0.9743, 0.0513)
As (0.7500, 0.0257, 0.9487)
Pb (0.7500, 0.4063, 0.1875)
Pb (0.2500, 0.5937, 0.8125)
Pd (0.4205, 0.1865, 0.1676)
Pd (0.7500, 0.2059, 0.5882)
Pd (0.5795, 0.8135, 0.8324)
Pd (0.2500, 0.7941, 0.4118)
Pd (0.0795, 0.6459, 0.1676)
Pd (0.9205, 0.3541, 0.8324)

=====

13.
Bi2As2Pd7Pb | PBE | optimized geometry

SG   No. 12
Total magnetization   0.00 μB/atom
E   -5.038 eV/atom
D(E_F)   4.1 states/eV per cell

abc: 4.0667 4.0667 14.6423
angles: 85.26 85.26 90.19
Positions (direct):
Pd (0.3668, 0.3668, 0.4178)
Pd (0.0437, 0.5446, 0.8516)
Pd (0.5000, 0.5000, 0.0000)
Pd (0.4554, 0.9563, 0.1484)
Pd (0.6332, 0.6332, 0.5822)
Pd (0.5446, 0.0437, 0.8516)
Pd (0.9563, 0.4554, 0.1484)
Bi (0.8724, 0.8724, 0.4026)
Bi (0.1277, 0.1277, 0.5974)
As (0.5735, 0.5735, 0.7529)
As (0.4265, 0.4265, 0.2471)
Pb (0.0000, 0.0000, 0.0000)

=====

14.
BiAs2Pd7Pb2 | PBE | optimized geometry

SG   No. 12
Total magnetization   0.00 μB/atom
E   -5.007 eV/atom
D(E_F)   5.4 states/eV per cell

abc: 4.0769 4.0769 14.5945
angles: 85.26 85.26 90.10
Positions (direct):
Pd (0.5000, 0.5000, 0.0000)
Pd (0.5460, 0.0458, 0.8495)
Pd (0.3871, 0.3871, 0.4205)
Pd (0.6129, 0.6129, 0.5795)
Pd (0.9542, 0.4540, 0.1505)
Pd (0.4540, 0.9542, 0.1505)
Pd (0.0458, 0.5460, 0.8495)
As (0.4257, 0.4257, 0.2483)
As (0.5743, 0.5743, 0.7517)
Pb (0.1134, 0.1134, 0.6065)
Pb (0.8866, 0.8866, 0.3935)
Bi (0.0000, 0.0000, 0.0000)

=====

15.
Bi2AsRuPb | PBE | optimized geometry

SG   No. 123
Total magnetization   0.00 μB/atom
E   -4.774 eV/atom
D(E_F)   5.3 states/eV per cell

abc: 5.5625 4.5818 5.5625
angles: 90.00 90.00 90.00
Positions (direct):
Ru (0.0000, 0.0000, 0.0000)
Pb (0.5000, 0.5000, 0.5000)
Bi (0.0000, 0.0000, 0.5000)
Bi (0.5000, 0.0000, 0.0000)
As (0.0000, 0.5000, 0.0000)

=====

16.
BiSbAs2Pb | PBE | optimized geometry

SG   No. 123
Formation energy (no corrections)   0.69 eV per atom
Total magnetization   0.00 μB/atom
E   -3.517 eV/atom
D(E_F)   6.3 states/eV per cell

abc: 5.2997 5.8588 5.2997
angles: 90.00 90.00 90.00
Positions (direct):
Bi (0.0000, 0.5000, 0.0000)
Pb (0.5000, 0.5000, 0.5000)
Sb (0.0000, 0.0000, 0.0000)
As (0.0000, 0.0000, 0.5000)
As (0.5000, 0.0000, 0.0000)

=====

17.
BiAs2PbSe | PBE | optimized geometry

SG   No. 123
Formation energy (no corrections)   0.63 eV per atom
E above lowest polymorph   0.000 eV per atom
Total magnetization   0.00 μB/atom
E   -3.446 eV/atom
D(E_F)   5.3 states/eV per cell

abc: 5.4181 5.4181 5.5747
angles: 90.00 90.00 90.00
Positions (direct):
Pb (0.5000, 0.5000, 0.5000)
As (0.0000, 0.5000, 0.0000)
As (0.5000, 0.0000, 0.0000)
Bi (0.0000, 0.0000, 0.0000)
Se (0.0000, 0.0000, 0.5000)

=====

18.
Sr2BiAsPb | PBE | optimized geometry

SG   No. 11
Total magnetization   0.00 μB/atom
E   -3.815 eV/atom
D(E_F)   1.6 states/eV per cell

abc: 4.5801 8.7762 9.7249
angles: 110.14 90.00 90.00
Positions (direct):
As (0.7500, 0.2130, 0.1860)
As (0.2500, 0.7870, 0.8140)
Sr (0.7500, 0.7927, 0.5950)
Sr (0.7500, 0.8435, 0.0580)
Sr (0.2500, 0.1565, 0.9420)
Sr (0.2500, 0.2073, 0.4050)
Bi (0.7500, 0.2299, 0.6769)
Bi (0.2500, 0.7701, 0.3231)
Pb (0.7500, 0.5153, 0.1521)
Pb (0.2500, 0.4847, 0.8479)

=====

19.
Th6Bi3As2Pb | PBE | optimized geometry

SG   No. 12
Total magnetization   0.00 μB/atom
E   -6.554 eV/atom
D(E_F)   6.4 states/eV per cell

abc: 4.4539 9.0233 10.0634
angles: 103.97 102.78 90.00
Positions (direct):
Th (0.6745, 0.5658, 0.3490)
Th (0.0120, 0.2527, 0.0239)
Th (0.3308, 0.8895, 0.6617)
Th (0.9880, 0.7473, 0.9761)
Th (0.3255, 0.4342, 0.6510)
Th (0.6692, 0.1105, 0.3383)
As (0.1686, 0.3358, 0.3371)
As (0.8314, 0.6642, 0.6629)
Pb (0.5000, 0.0000, 0.0000)
Bi (0.1615, 0.8328, 0.3230)
Bi (0.8385, 0.1672, 0.6770)
Bi (0.5000, 0.5000, 0.0000)

=====

20.
Bi3AsPd | PBE | optimized geometry

SG   No. 221
E above lowest polymorph   0.000 eV per atom
Total magnetization   0.00 μB/atom
E   -3.837 eV/atom
D(E_F)   4.7 states/eV per cell

abc: 5.3569 5.3569 5.3569
angles: 90.00 90.00 90.00
Positions (direct):
Bi (0.0000, 0.0000, 0.5000)
Bi (0.5000, 0.0000, 0.0000)
Bi (0.0000, 0.5000, 0.0000)
As (0.5000, 0.5000, 0.5000)
Pd (0.0000, 0.0000, 0.0000)